Record 1
## Ac4CuSn8 (PBE)

Data for a relaxed Ac4CuSn8 crystal.

abc: 4.567 4.703 18.796
angles: 90.00 90.00 90.00
Fractional positions:
Ac: 0.000 0.000 0.000
Ac: 0.000 0.500 0.496
Ac: 0.500 0.000 0.789
Ac: 0.500 0.500 0.287
Cu: 0.000 0.500 0.712
Sn: 0.000 0.000 0.339
Sn: 0.000 0.000 0.636
Sn: 0.000 0.500 0.139
Sn: 0.000 0.500 0.851
Sn: 0.500 0.000 0.147
Sn: 0.500 0.000 0.440
Sn: 0.500 0.500 0.637
Sn: 0.500 0.500 0.950

Properties
DOS(E_F)   0.5089 states/eV per atom
SG   Pmm2 (25)
Formation energy from the elements   -0.56 eV per atom
Size of the total moment   0.00 μB/cell

***

Record 2
## Ac3Cu4Sn4 (PBE)

Data for a relaxed Ac3Cu4Sn4 crystal.

abc: 13.931 13.931 13.931
angles: 161.30 161.14 26.68
Fractional positions:
Ac: 0.000 0.000 0.000
Ac: 0.353 0.853 0.500
Ac: 0.647 0.147 0.500
Cu: 0.194 0.694 0.500
Cu: 0.454 0.454 0.000
Cu: 0.546 0.546 0.000
Cu: 0.806 0.306 0.500
Sn: 0.096 0.596 0.500
Sn: 0.250 0.250 0.000
Sn: 0.750 0.750 0.000
Sn: 0.904 0.404 0.500

Properties
DOS(E_F)   0.6507 states/eV per atom
SG   Immm (71)
E above lowest polymorph   0.042 eV per atom
Formation energy from the elements   -0.46 eV per atom
Size of the total moment   0.00 μB/cell

***

Record 3
## AcCu2Sn2 (PBE)

Data for a relaxed AcCu2Sn2 crystal.

abc: 4.599 4.599 10.831
angles: 90.00 90.00 90.00
Fractional positions:
Ac: 0.250 0.250 0.239
Ac: 0.750 0.750 0.761
Cu: 0.250 0.250 0.634
Cu: 0.250 0.750 0.000
Cu: 0.750 0.250 0.000
Cu: 0.750 0.750 0.366
Sn: 0.250 0.250 0.876
Sn: 0.250 0.750 0.500
Sn: 0.750 0.250 0.500
Sn: 0.750 0.750 0.124

Properties
DOS(E_F)   0.3912 states/eV per atom
SG   P4/nmm (129)
E above lowest polymorph   0.000 eV per atom
Formation energy from the elements   -0.45 eV per atom
Size of the total moment   0.00 μB/cell

***

Repeat the first record exactly.
## Ac4CuSn8 (PBE)

Data for a relaxed Ac4CuSn8 crystal.

abc: 4.567 4.703 18.796
angles: 90.00 90.00 90.00
Fractional positions:
Ac: 0.000 0.000 0.000
Ac: 0.000 0.500 0.496
Ac: 0.500 0.000 0.789
Ac: 0.500 0.500 0.287
Cu: 0.000 0.500 0.712
Sn: 0.000 0.000 0.339
Sn: 0.000 0.000 0.636
Sn: 0.000 0.500 0.139
Sn: 0.000 0.500 0.851
Sn: 0.500 0.000 0.147
Sn: 0.500 0.000 0.440
Sn: 0.500 0.500 0.637
Sn: 0.500 0.500 0.950

Properties
DOS(E_F)   0.5089 states/eV per atom
SG   Pmm2 (25)
Formation energy from the elements   -0.56 eV per atom
Size of the total moment   0.00 μB/cell

***

- The lowest DOS(E_F) belongs to which entry?
  AcCu2Sn2

***

Repeat the first record exactly.
## Ac4CuSn8 (PBE)

Data for a relaxed Ac4CuSn8 crystal.

abc: 4.567 4.703 18.796
angles: 90.00 90.00 90.00
Fractional positions:
Ac: 0.000 0.000 0.000
Ac: 0.000 0.500 0.496
Ac: 0.500 0.000 0.789
Ac: 0.500 0.500 0.287
Cu: 0.000 0.500 0.712
Sn: 0.000 0.000 0.339
Sn: 0.000 0.000 0.636
Sn: 0.000 0.500 0.139
Sn: 0.000 0.500 0.851
Sn: 0.500 0.000 0.147
Sn: 0.500 0.000 0.440
Sn: 0.500 0.500 0.637
Sn: 0.500 0.500 0.950

Properties
DOS(E_F)   0.5089 states/eV per atom
SG   Pmm2 (25)
Formation energy from the elements   -0.56 eV per atom
Size of the total moment   0.00 μB/cell